A plane-wave DFT calculation with PBE-GGA was carried out for TcBi2Ir after structural relaxation.

abc: 6.151 6.151 7.516
angles: 65.85 65.85 90.00
Positions (direct):
Ir 0.000 0.000 0.000
Ir 0.750 0.250 0.500
Bi 0.626 0.125 0.250
Bi 0.124 0.625 0.250
Bi 0.375 0.374 0.750
Bi 0.875 0.876 0.750
Tc 0.500 0.500 0.000
Tc 0.250 0.750 0.500

Its density of states at the Fermi level is 3.86 states/eV/f.u. The value obtained for the relative energy among the computed polymorphs is 8.309 kcal/mol of atoms. As for the size of the total moment: 0.00 Bohr magnetons per cell. As for the total energy: -5.763 eV per atom. The value obtained for the calculated formation energy is 0.984 eV per atom.